# 1
Material: Sb2PtN
Method: DFT, PBEsol
State: optimized geometry

Unit cell a=6.6844 b=6.6844 c=6.6844 alpha=130.86 beta=130.86 gamma=72.04
With the nearest neighbours (Å) after each atom.
Fractional positions:
1 Sb 0.0770 0.6250 0.9520  2 N 2.24
2 Sb 0.3750 0.3270 0.4520  2 N 2.24
3 Sb 0.6730 0.1250 0.0480  2 N 2.24
4 Sb 0.8750 0.9230 0.5480  2 N 2.24
5 Pt 0.2500 0.7500 0.5000  4 Sb 2.55
6 Pt 0.5000 0.5000 0.0000  4 Sb 2.55
7 N 0.0000 0.0000 0.0000  4 Sb 2.24
8 N 0.7500 0.2500 0.5000  4 Sb 2.24

Computed properties:
E_tot: -5.9418 eV/atom
density of states at the Fermi level: 0.341 states/eV/atom
SG: I-42d (122)

# 2
Material: SrMnPt
Method: DFT, PBEsol
State: optimized geometry

Unit cell a=4.7233 b=4.7233 c=4.7233 alpha=60.00 beta=60.00 gamma=60.00
With the nearest neighbours (Å) after each atom.
Fractional positions:
1 Sr 0.0000 0.0000 0.0000  4 Pt 2.89
2 Mn 0.5000 0.5000 0.5000  4 Pt 2.89
3 Pt 0.2500 0.2500 0.2500  4 Mn 2.89, 4 Sr 2.89

Computed properties:
E_tot: -6.0667 eV/atom
density of states at the Fermi level: 0.421 states/eV/atom
calculated formation energy: 0.1217 eV per atom
SG: F-43m (216)

# 3
Material: CrRu4
Method: DFT, PBEsol
State: optimized geometry

Unit cell a=6.1909 b=6.1909 c=6.1909 alpha=145.32 beta=145.32 gamma=49.86
With the nearest neighbours (Å) after each atom.
Fractional positions:
1 Cr 0.0000 0.0000 0.0000  8 Ru 2.84
2 Ru 0.2500 0.7500 0.5000  8 Ru 2.49-2.61
3 Ru 0.3995 0.3995 0.0000  5 Ru 2.26-2.49
4 Ru 0.6005 0.6005 0.0000  5 Ru 2.26-2.49
5 Ru 0.7500 0.2500 0.5000  8 Ru 2.49-2.61

Computed properties:
E_tot: -9.4281 eV/atom
density of states at the Fermi level: 1.153 states/eV/atom
calculated formation energy: 0.7583 eV per atom
SG: I4/mmm (139)

# 4
Material: Ce2Ta2O9
Method: DFT, PBEsol
State: optimized geometry

Unit cell a=6.4555 b=3.8233 c=15.3194 alpha=90.00 beta=113.62 gamma=90.00
With the nearest neighbours (Å) after each atom.
Fractional positions:
1 Ce 0.2006 0.0013 0.2163  4 O 2.26-2.27
2 Ce 0.2006 0.4987 0.7163  4 O 2.26-2.27
3 Ce 0.7994 0.5013 0.2837  4 O 2.26-2.27
4 Ce 0.7994 0.9987 0.7837  4 O 2.26-2.27
5 Ta 0.2612 0.5008 0.0413  5 O 1.89-1.99
6 Ta 0.2612 0.9992 0.5413  5 O 1.89-1.99
7 Ta 0.7388 0.0008 0.4587  5 O 1.89-1.99
8 Ta 0.7388 0.4992 0.9587  5 O 1.89-1.99
9 O 0.0125 0.9999 0.4158  2 Ta 1.95-2.12
10 O 0.0125 0.5001 0.9158  2 Ta 1.95-2.12
11 O 0.1519 0.5013 0.2839  3 Ce 2.26-2.27
12 O 0.1519 0.9987 0.7839  3 Ce 2.26-2.27
13 O 0.2481 0.0005 0.0599  2 Ta 1.94
14 O 0.2481 0.4995 0.5599  2 Ta 1.94
15 O 0.4284 0.5008 0.1824  1 Ta 1.99
16 O 0.4284 0.9992 0.6824  1 Ta 1.99
17 O 0.5000 0.0000 0.5000  2 Ta 1.89
18 O 0.5000 0.5000 0.0000  2 Ta 1.89
19 O 0.5716 0.0008 0.3176  1 Ta 1.99
20 O 0.5716 0.4992 0.8176  1 Ta 1.99
21 O 0.7519 0.5005 0.4401  2 Ta 1.94
22 O 0.7519 0.9995 0.9401  2 Ta 1.94
23 O 0.8481 0.0013 0.2161  3 Ce 2.26-2.27
24 O 0.8481 0.4987 0.7161  3 Ce 2.26-2.27
25 O 0.9875 0.0001 0.5842  2 Ta 1.95-2.12
26 O 0.9875 0.4999 0.0842  2 Ta 1.95-2.12

Computed properties:
E_tot: -9.6534 eV/atom
density of states at the Fermi level: 0.000 states/eV/atom
SG: P2_1/c (14)

# 5
Material: Zr2TePb
Method: DFT, PBEsol
State: optimized geometry

Unit cell a=5.0190 b=5.0190 c=5.0190 alpha=60.00 beta=60.00 gamma=60.00
With the nearest neighbours (Å) after each atom.
Fractional positions:
1 Zr 0.2500 0.2500 0.2500  4 Pb 3.07, 4 Te 3.07
2 Zr 0.7500 0.7500 0.7500  4 Pb 3.07, 4 Te 3.07
3 Te 0.0000 0.0000 0.0000  8 Zr 3.07
4 Pb 0.5000 0.5000 0.5000  8 Zr 3.07

Computed properties:
E_tot: -6.8121 eV/atom
density of states at the Fermi level: 1.485 states/eV/atom
offset from the most stable computed form: 0.162 eV per formula unit
SG: Fm-3m (225)

# 6
Material: ScHN2
Method: DFT, PBEsol
State: optimized geometry

Unit cell a=5.6869 b=5.6869 c=5.6869 alpha=143.36 beta=143.36 gamma=52.78
With the nearest neighbours (Å) after each atom.
Fractional positions:
1 Sc 0.0000 0.0000 0.0000  8 N 2.24-2.50
2 Sc 0.7500 0.2500 0.5000  8 N 2.24-2.50
3 H 0.2500 0.7500 0.5000  4 N 1.57
4 H 0.5000 0.5000 0.0000  4 N 1.57
5 N 0.3258 0.6250 0.2008  2 H 1.57
6 N 0.3750 0.5758 0.7008  2 H 1.57
7 N 0.4242 0.1250 0.7992  2 H 1.57
8 N 0.8750 0.6742 0.2992  2 H 1.57

Computed properties:
E_tot: -6.6638 eV/atom
density of states at the Fermi level: 0.220 states/eV/atom
SG: I-42d (122)

# 7
Material: Be4Os3
Method: DFT, PBEsol
State: optimized geometry

Unit cell a=9.6996 b=9.6996 c=9.6996 alpha=163.46 beta=163.46 gamma=23.47
With the nearest neighbours (Å) after each atom.
Fractional positions:
1 Be 0.0688 0.0688 0.0000  4 Be 2.27, 4 Os 2.37
2 Be 0.3720 0.3720 0.0000  4 Be 2.27, 5 Os 2.43-2.46
3 Be 0.6280 0.6280 0.0000  4 Be 2.27, 5 Os 2.43-2.46
4 Be 0.9312 0.9312 0.0000  4 Be 2.27, 4 Os 2.37
5 Os 0.2050 0.2050 0.0000  5 Be 2.46-2.59, 4 Os 2.61
6 Os 0.5000 0.5000 0.0000  10 Be 2.37-2.43
7 Os 0.7950 0.7950 0.0000  5 Be 2.46-2.59, 4 Os 2.61

Computed properties:
E_tot: -7.6761 eV/atom
density of states at the Fermi level: 0.371 states/eV/atom
calculated formation energy: -0.1550 eV per atom
SG: I4/mmm (139)

# 8
Material: Al2ZnCd
Method: DFT, PBEsol
State: optimized geometry

Unit cell a=4.8584 b=4.8584 c=4.9981 alpha=99.48 beta=99.48 gamma=36.07
With the nearest neighbours (Å) after each atom.
Fractional positions:
1 Al 0.2449 0.2449 0.2349  3 Zn 2.80-2.81, 6 Al 2.80-3.03, 3 Cd 2.81-2.91
2 Al 0.7551 0.7551 0.7651  3 Zn 2.80-2.81, 6 Al 2.80-3.03, 3 Cd 2.81-2.91
3 Zn 0.5000 0.5000 0.0000  6 Al 2.80-2.81, 4 Cd 2.92, 2 Zn 3.01
4 Cd 0.0000 0.0000 0.5000  6 Al 2.81-2.91, 4 Zn 2.92, 2 Cd 3.01

Computed properties:
E_tot: -2.6551 eV/atom
density of states at the Fermi level: 0.323 states/eV/atom
calculated formation energy: 0.0854 eV per atom
offset from the most stable computed form: 0.000 eV per formula unit
SG: C2/m (12)

# 9
Material: LiSiMo
Method: DFT, PBEsol
State: optimized geometry

Unit cell a=6.6028 b=6.6028 c=6.6028 alpha=157.06 beta=157.06 gamma=32.66
With the nearest neighbours (Å) after each atom.
Fractional positions:
1 Li 0.0000 0.0000 0.0000  4 Li 2.63, 4 Si 2.79
2 Si 0.3354 0.3354 0.0000  4 Si 2.63, 4 Mo 2.66, 4 Li 2.79
3 Mo 0.6854 0.6854 0.0000  4 Mo 2.63, 4 Si 2.66

Computed properties:
E_tot: -6.4023 eV/atom
density of states at the Fermi level: 0.644 states/eV/atom
offset from the most stable computed form: 0.000 eV per formula unit
SG: I4mm (107)

# 10
Material: SiRu2W
Method: DFT, PBEsol
State: optimized geometry

Unit cell a=5.0554 b=5.0554 c=5.0554 alpha=146.71 beta=129.43 gamma=61.90
With the nearest neighbours (Å) after each atom.
Fractional positions:
1 Si 0.0000 0.0000 0.0000  6 Ru 2.38-2.60, 2 W 2.54
2 Ru 0.5052 0.5052 0.0000  4 Si 2.60, 2 W 2.71, 6 Ru 2.81-2.90
3 Ru 0.7824 0.2824 0.5000  2 Si 2.38, 4 W 2.62
4 W 0.2409 0.7409 0.5000  2 Si 2.54, 6 Ru 2.62-2.71

Computed properties:
E_tot: -10.1984 eV/atom
density of states at the Fermi level: 0.691 states/eV/atom
SG: Imm2 (44)

# 11
Material: Cr2NiBOs
Method: DFT, PBEsol
State: optimized geometry

Unit cell a=4.5065 b=4.5065 c=4.4850 alpha=90.00 beta=90.00 gamma=90.00
With the nearest neighbours (Å) after each atom.
Fractional positions:
1 Cr 0.0000 0.5000 0.0000  2 Os 2.25
2 Cr 0.5000 0.0000 0.0000  2 Os 2.25
3 Ni 0.0000 0.0000 0.5000  2 Os 2.24
4 B 0.5000 0.5000 0.5000  8 Cr 3.18, 4 Ni 3.19
5 Os 0.0000 0.0000 0.0000  2 Ni 2.24, 4 Cr 2.25

Computed properties:
E_tot: -6.9504 eV/atom
density of states at the Fermi level: 0.968 states/eV/atom
calculated formation energy: 2.2243 eV per atom
SG: P4/mmm (123)

# 12
Material: K3Tl
Method: DFT, PBEsol
State: optimized geometry

Unit cell a=9.5435 b=11.2989 c=7.4040 alpha=90.00 beta=90.00 gamma=90.00
With the nearest neighbours (Å) after each atom.
Fractional positions:
1 K 0.0273 0.2500 0.1066  2 Tl 3.67-3.78
2 K 0.1783 0.0542 0.6306  3 Tl 3.60-3.83
3 K 0.1783 0.4458 0.6306  3 Tl 3.60-3.83
4 K 0.3217 0.5542 0.1306  3 Tl 3.60-3.83
5 K 0.3217 0.9458 0.1306  3 Tl 3.60-3.83
6 K 0.4727 0.7500 0.6066  2 Tl 3.67-3.78
7 K 0.5273 0.2500 0.3934  2 Tl 3.67-3.78
8 K 0.6783 0.0542 0.8694  3 Tl 3.60-3.83
9 K 0.6783 0.4458 0.8694  3 Tl 3.60-3.83
10 K 0.8217 0.5542 0.3694  3 Tl 3.60-3.83
11 K 0.8217 0.9458 0.3694  3 Tl 3.60-3.83
12 K 0.9727 0.7500 0.8934  2 Tl 3.67-3.78
13 Tl 0.1164 0.7500 0.4184  8 K 3.60-3.83
14 Tl 0.3836 0.2500 0.9184  8 K 3.60-3.83
15 Tl 0.6164 0.7500 0.0816  8 K 3.60-3.83
16 Tl 0.8836 0.2500 0.5816  8 K 3.60-3.83

Computed properties:
E_tot: -1.5066 eV/atom
density of states at the Fermi level: 0.872 states/eV/atom
calculated formation energy: 0.0009 eV per atom
SG: Pnma (62)